#A
The following is a DFT calculation (PBE) of a relaxed structure of NiRu2Rh8.

extended XYZ file:
```
11
Lattice="-1.947 3.076 -2.197 0.059 -3.382 -4.786 -4.705 -2.256 5.124" Properties=species:S:1:pos:R:3 pbc="T T T"
Rh -6.636 -0.123 1.592
Rh -4.114 -1.006 2.237
Rh -4.089 -2.492 0.134
Ru -2.186 -2.635 -1.753
Ni -0.973 1.538 -1.099
Rh 0.042 -2.439 -3.451
Rh -1.954 -0.833 0.565
Rh -2.479 -1.556 -4.096
Ru -4.408 0.074 -0.106
Rh -2.505 -0.070 -1.993
Rh -4.639 -1.728 -2.424
```

## Properties
* Fermi-level density of states: 17.90 states/eV/f.u.

---

#B
The following is a DFT calculation (PBE) of a relaxed structure of NiRu2Rh8.

extended XYZ file:
```
11
Lattice="4.309 -0.600 0.000 -0.766 7.530 0.000 -0.383 3.765 5.240" Properties=species:S:1:pos:R:3 pbc="T T T"
Rh 3.331 5.576 1.328
Rh 1.124 4.741 0.000
Ni 2.155 -0.300 0.000
Rh -0.171 5.120 3.912
Ru -0.383 3.765 1.662
Rh 1.389 7.230 2.453
Rh 2.419 2.189 0.000
Rh 2.948 9.341 3.912
Rh 0.212 1.355 1.328
Ru -0.766 7.530 3.578
Rh 1.772 3.465 2.787
```

## Properties
* Fermi-level density of states: 17.43 states/eV/f.u.

---

Most stable pick: #A. Distance to second place: 234 meV per atom.

---

#A
The following is a DFT calculation (PBE) of a relaxed structure of Ni2Ru2Rh7.

extended XYZ file:
```
11
Lattice="5.133 -0.156 -0.225 -0.690 5.873 0.039 -0.690 -2.025 5.513" Properties=species:S:1:pos:R:3 pbc="T T T"
Rh 3.596 3.132 0.293
Rh 2.554 2.427 3.503
Rh 0.157 4.517 2.292
Rh 0.000 0.000 0.000
Ni 1.876 -1.146 4.737
Ni 1.876 4.837 0.590
Rh 0.157 0.560 5.034
Ru 3.800 1.113 1.606
Rh 3.596 -0.826 3.035
Rh 1.198 1.264 1.824
Ru -0.047 2.578 3.721
```

## Properties
* Fermi-level density of states: 18.19 states/eV/f.u.

---

#B
The following is a DFT calculation (PBE) of a relaxed structure of Ni2Ru2Rh7.

extended XYZ file:
```
11
Lattice="5.469 1.880 1.548 5.604 7.821 5.447 1.947 2.468 6.390" Properties=species:S:1:pos:R:3 pbc="T T T"
Ni 8.611 8.808 7.508
Rh 9.145 8.903 10.144
Ru 8.286 6.661 9.075
Rh 6.188 7.931 8.068
Rh 6.832 4.237 5.317
Rh 5.233 5.614 6.951
Rh 0.000 0.000 0.000
Rh 7.787 6.554 6.435
Rh 3.875 3.265 3.242
Ni 4.409 3.361 5.878
Ru 4.734 5.507 4.311
```

## Properties
* Fermi-level density of states: 15.24 states/eV/f.u.

---

Most stable pick: #B. Distance to second place: 469 meV per atom.

---

#A
The following is a DFT calculation (PBE) of a relaxed structure of TaNiRuRh.

extended XYZ file:
```
4
Lattice="3.719 0.000 0.000 0.000 3.940 0.000 0.000 0.000 3.852" Properties=species:S:1:pos:R:3 pbc="T T T"
Rh 1.860 0.000 1.926
Ta 0.000 1.970 1.926
Ru 1.860 1.970 0.000
Ni 0.000 0.000 0.000
```

## Properties
* Fermi-level density of states: 3.47 states/eV/f.u.

---

#B
The following is a DFT calculation (PBE) of a relaxed structure of TaNiRuRh.

extended XYZ file:
```
4
Lattice="-3.054 2.412 1.915 -3.994 -1.597 0.553 -1.395 -1.025 3.977" Properties=species:S:1:pos:R:3 pbc="T T T"
Ru -6.333 -0.158 4.834
Ta -4.222 -0.105 3.222
Ni 0.000 0.000 0.000
Rh -2.111 -0.053 1.611
```

## Properties
* Fermi-level density of states: 6.47 states/eV/f.u.

---

Most stable pick: #A. Distance to second place: 178 meV per atom.

---

#A
The following is a DFT calculation (PBE) of a relaxed structure of TiNiRuRh.

extended XYZ file:
```
4
Lattice="-1.006 1.733 3.761 -3.229 -1.590 2.283 0.786 -2.131 3.606" Properties=species:S:1:pos:R:3 pbc="T T T"
Rh -0.862 -0.497 2.412
Ru -2.587 -1.491 7.237
Ni -1.725 -0.994 4.825
Ti 0.000 0.000 0.000
```

## Properties
* Fermi-level density of states: 5.84 states/eV/f.u.

---

#B
The following is a DFT calculation (PBE) of a relaxed structure of TiNiRuRh.

extended XYZ file:
```
4
Lattice="3.627 0.000 0.000 0.000 3.842 0.000 0.000 0.000 3.884" Properties=species:S:1:pos:R:3 pbc="T T T"
Rh 1.813 0.000 1.942
Ru 1.813 1.921 0.000
Ni 0.000 1.921 1.942
Ti 0.000 0.000 0.000
```

## Properties
* Fermi-level density of states: 4.42 states/eV/f.u.

---

Most stable pick: #B. Distance to second place: 132 meV per atom.

---

#A
The following is a DFT calculation (PBE) of a relaxed structure of NiRh3S.

extended XYZ file:
```
5
Lattice="4.495 0.000 0.000 0.000 4.495 0.000 0.000 0.000 4.495" Properties=species:S:1:pos:R:3 pbc="T T T"
Rh 0.000 0.000 2.248
Rh 2.248 0.000 0.000
Rh 0.000 2.248 0.000
Ni 0.000 0.000 0.000
S 2.248 2.248 2.248
```

## Properties
* Fermi-level density of states: 8.43 states/eV/f.u.

---

#B
The following is a DFT calculation (PBE) of a relaxed structure of NiRh3S.

extended XYZ file:
```
5
Lattice="4.331 0.000 0.000 0.000 4.331 0.000 0.000 0.000 4.331" Properties=species:S:1:pos:R:3 pbc="T T T"
Ni 2.165 2.165 2.165
Rh 2.165 0.000 0.000
Rh 0.000 0.000 2.165
Rh 0.000 2.165 0.000
S 0.000 0.000 0.000
```

## Properties
* Fermi-level density of states: 12.21 states/eV/f.u.

---

Most stable pick: #B. Distance to second place: 886 meV per atom.

---

#A
The following is a DFT calculation (PBE) of a relaxed structure of NiSb4Rh.

extended XYZ file:
```
12
Lattice="-3.043 1.834 -5.289 -5.058 -3.557 1.677 -2.558 5.049 2.993" Properties=species:S:1:pos:R:3 pbc="T T T"
Rh -2.801 3.441 -1.148
Rh -3.808 0.746 2.335
Ni 0.000 0.000 0.000
Ni -4.051 -0.862 -1.806
Sb -6.146 -0.019 -3.123
Sb -6.697 2.112 -0.327
Sb -4.835 5.105 -0.538
Sb -3.963 1.213 -0.292
Sb -4.258 2.993 -3.343
Sb -4.513 3.344 2.504
Sb -5.825 -1.780 -0.081
Sb -6.401 0.333 2.724
```

## Properties
* Fermi-level density of states: 4.24 states/eV/f.u.

---

#B
The following is a DFT calculation (PBE) of a relaxed structure of NiSb4Rh.

extended XYZ file:
```
6
Lattice="0.000 4.222 4.222 4.222 0.000 4.222 4.222 4.222 0.000" Properties=species:S:1:pos:R:3 pbc="T T T"
Sb 5.275 3.168 5.275
Sb 3.168 3.168 3.168
Sb 3.168 5.275 5.275
Ni 6.332 6.332 6.332
Rh 0.000 0.000 0.000
Sb 5.275 5.275 3.168
```

## Properties
* Fermi-level density of states: 6.86 states/eV/f.u.

---

Most stable pick: #A. Distance to second place: 1228 meV per atom.